A geometry-optimized CaTiBi2 structure, computed with PBE-GGA.

Cell lengths 3.7449, 3.7449, 31.1128 Å; angles 90.00, 90.00, 120.00 degrees
Space group R-3m (No. 166, hexagonal axes)
Inequivalent atoms, fractional coordinates:
1 Ca 0.0000 0.0000 0.0000 (multiplicity 3)
2 Ti 0.0000 0.0000 0.5000 (multiplicity 3)
3 Bi 0.0000 0.0000 0.1034 (multiplicity 6)

VASP energy: -4.423 eV/atom
Distance to the lowest polymorph of the same formula: 289.1 meV per atom

A geometry-optimized CaTiBi structure, computed with PBE-GGA.

Cell lengths 4.348, 4.348, 8.260 Å; angles 90.00, 90.00, 90.00 degrees
Space group P4/nmm (No. 129, origin choice 2)
Inequivalent atoms, fractional coordinates:
1 Ca 0.250 0.250 0.163 (multiplicity 2)
2 Ti 0.250 0.750 0.500 (multiplicity 2)
3 Bi 0.250 0.250 0.746 (multiplicity 2)

VASP energy: -5.032 eV/atom

A geometry-optimized CaTiBi2 structure, computed with PBE-GGA.

Cell lengths 7.525, 7.525, 7.525 Å; angles 90.00, 90.00, 90.00 degrees
Space group Fm-3m (No. 225)
Inequivalent atoms, fractional coordinates:
1 Ca 0.000 0.000 0.000 (multiplicity 4)
2 Ti 0.000 0.000 0.500 (multiplicity 4)
3 Bi 0.250 0.250 0.250 (multiplicity 8)

VASP energy: -4.625 eV/atom
Distance to the lowest polymorph of the same formula: 86.9 meV per atom

A geometry-optimized CaTi2Bi2 structure, computed with PBE-GGA.

Cell lengths 8.207, 8.207, 3.655 Å; angles 90.00, 90.00, 90.00 degrees
Space group P4/mbm (No. 127)
Inequivalent atoms, fractional coordinates:
1 Ca 0.000 0.000 0.000 (multiplicity 2)
2 Ti 0.110 0.390 0.000 (multiplicity 4)
3 Bi 0.174 0.674 0.500 (multiplicity 4)

VASP energy: -5.201 eV/atom
Distance to the lowest polymorph of the same formula: 165.4 meV per atom

A geometry-optimized CaTi3Bi structure, computed with PBE-GGA.

Cell lengths 5.241, 5.241, 5.241 Å; angles 90.00, 90.00, 90.00 degrees
Space group Pm-3m (No. 221)
Inequivalent atoms, fractional coordinates:
1 Ca 0.000 0.000 0.000 (multiplicity 1)
2 Ti 0.000 0.500 0.500 (multiplicity 3)
3 Bi 0.500 0.500 0.500 (multiplicity 1)

VASP energy: -5.021 eV/atom
Distance to the lowest polymorph of the same formula: 0.0 meV per atom

A geometry-optimized CaTi2Bi structure, computed with PBE-GGA.

Cell lengths 8.266, 8.266, 6.003 Å; angles 90.00, 90.00, 90.00 degrees
Space group I-42d (No. 122)
Inequivalent atoms, fractional coordinates:
1 Ca 0.000 0.000 0.000 (multiplicity 4)
2 Ti 0.217 0.250 0.625 (multiplicity 8)
3 Bi 0.000 0.000 0.500 (multiplicity 4)

VASP energy: -4.921 eV/atom

A geometry-optimized CaTi2Bi2 structure, computed with PBE-GGA.

Cell lengths 4.238, 4.238, 14.460 Å; angles 90.00, 90.00, 90.00 degrees
Space group I4/mmm (No. 139)
Inequivalent atoms, fractional coordinates:
1 Ca 0.000 0.000 0.000 (multiplicity 2)
2 Ti 0.000 0.500 0.250 (multiplicity 4)
3 Bi 0.000 0.000 0.383 (multiplicity 4)

VASP energy: -5.366 eV/atom
Distance to the lowest polymorph of the same formula: 0.0 meV per atom

A geometry-optimized CaTiBi2 structure, computed with PBE-GGA.

Cell lengths 3.621, 3.621, 8.115 Å; angles 90.00, 90.00, 90.00 degrees
Space group P4/mmm (No. 123)
Inequivalent atoms, fractional coordinates:
1 Ca 0.000 0.000 0.000 (multiplicity 1)
2 Ti 0.000 0.000 0.500 (multiplicity 1)
3 Bi 0.500 0.500 0.284 (multiplicity 2)

VASP energy: -4.712 eV/atom
Distance to the lowest polymorph of the same formula: 0.0 meV per atom

A geometry-optimized CaTi2Bi2 structure, computed with PBE-GGA.

Cell lengths 8.162, 8.162, 3.716 Å; angles 90.00, 90.00, 90.00 degrees
Space group P4/mbm (No. 127)
Inequivalent atoms, fractional coordinates:
1 Ca 0.000 0.000 0.000 (multiplicity 2)
2 Ti 0.128 0.372 0.500 (multiplicity 4)
3 Bi 0.154 0.654 0.000 (multiplicity 4)

VASP energy: -5.245 eV/atom
Distance to the lowest polymorph of the same formula: 120.9 meV per atom

A geometry-optimized Ca5TlBi3 structure, computed with PBE-GGA.

Cell lengths 9.5883, 9.5883, 7.1193 Å; angles 90.00, 90.00, 120.00 degrees
Space group P6_3/mcm (No. 193)
Inequivalent atoms, fractional coordinates:
1 Ca 0.0000 0.2776 0.2500 (multiplicity 6)
2 Ca 0.3333 0.6667 0.0000 (multiplicity 4)
3 Tl 0.0000 0.0000 0.0000 (multiplicity 2)
4 Bi 0.0000 0.3807 0.7500 (multiplicity 6)

VASP energy: -3.375 eV/atom

A geometry-optimized CaTlBi2 structure, computed with PBE-GGA.

Cell lengths 8.000, 8.000, 8.000 Å; angles 90.00, 90.00, 90.00 degrees
Space group Fm-3m (No. 225)
Inequivalent atoms, fractional coordinates:
1 Ca 0.000 0.000 0.000 (multiplicity 4)
2 Tl 0.000 0.000 0.500 (multiplicity 4)
3 Bi 0.250 0.250 0.250 (multiplicity 8)

VASP energy: -3.276 eV/atom
Distance to the lowest polymorph of the same formula: 161.1 meV per atom

A geometry-optimized Ca2TlBi4 structure, computed with PBE-GGA.

Cell lengths 9.635, 9.651, 6.942 Å; angles 90.00, 133.82, 90.00 degrees
Space group C2/m (No. 12)
Inequivalent atoms, fractional coordinates:
1 Ca 0.250 0.250 0.000 (multiplicity 4)
2 Tl 0.000 0.000 0.000 (multiplicity 2)
3 Bi 0.000 0.000 0.500 (multiplicity 2)
4 Bi 0.000 0.500 0.500 (multiplicity 2)
5 Bi 0.250 0.250 0.500 (multiplicity 4)

VASP energy: -3.554 eV/atom

A geometry-optimized Ca2TlBi structure, computed with PBE-GGA.

Cell lengths 5.292, 5.292, 4.360 Å; angles 90.00, 90.00, 90.00 degrees
Space group P4/mmm (No. 123)
Inequivalent atoms, fractional coordinates:
1 Ca 0.000 0.500 0.000 (multiplicity 2)
2 Tl 0.000 0.000 0.500 (multiplicity 1)
3 Bi 0.500 0.500 0.500 (multiplicity 1)

VASP energy: -3.163 eV/atom
Distance to the lowest polymorph of the same formula: 0.0 meV per atom

A geometry-optimized CaTlBi4 structure, computed with PBE-GGA.

Cell lengths 6.800, 19.855, 5.726 Å; angles 90.00, 90.00, 90.00 degrees
Space group Cmcm (No. 63)
Inequivalent atoms, fractional coordinates:
1 Ca 0.000 0.126 0.250 (multiplicity 4)
2 Tl 0.000 0.377 0.750 (multiplicity 4)
3 Bi 0.246 0.041 0.750 (multiplicity 8)
4 Bi 0.250 0.209 0.750 (multiplicity 8)

VASP energy: -3.531 eV/atom
Distance to the lowest polymorph of the same formula: 0.0 meV per atom

A geometry-optimized CaTl2Bi2 structure, computed with PBE-GGA.

Cell lengths 8.681, 8.681, 4.238 Å; angles 90.00, 90.00, 90.00 degrees
Space group P4/mbm (No. 127)
Inequivalent atoms, fractional coordinates:
1 Ca 0.000 0.000 0.000 (multiplicity 2)
2 Tl 0.136 0.364 0.000 (multiplicity 4)
3 Bi 0.158 0.658 0.500 (multiplicity 4)

VASP energy: -3.039 eV/atom
Distance to the lowest polymorph of the same formula: 148.1 meV per atom

A geometry-optimized Ca5TlBi4 structure, computed with PBE-GGA.

Cell lengths 4.771, 10.352, 13.444 Å; angles 90.00, 90.00, 90.00 degrees
Space group Immm (No. 71)
Inequivalent atoms, fractional coordinates:
1 Ca 0.000 0.000 0.000 (multiplicity 2)
2 Ca 0.000 0.317 0.151 (multiplicity 8)
3 Tl 0.000 0.000 0.500 (multiplicity 2)
4 Bi 0.000 0.000 0.250 (multiplicity 4)
5 Bi 0.000 0.299 0.500 (multiplicity 4)

VASP energy: -3.418 eV/atom

A geometry-optimized CaTl2Bi6 structure, computed with PBE-GGA.

Cell lengths 8.858, 9.999, 6.673 Å; angles 90.00, 100.24, 90.00 degrees
Space group C2/m (No. 12)
Inequivalent atoms, fractional coordinates:
1 Ca 0.000 0.000 0.000 (multiplicity 2)
2 Tl 0.162 0.500 0.662 (multiplicity 4)
3 Bi 0.000 0.160 0.500 (multiplicity 4)
4 Bi 0.170 0.330 0.160 (multiplicity 8)

VASP energy: -3.484 eV/atom

A geometry-optimized Ca2TlBi structure, computed with PBE-GGA.

Cell lengths 7.897, 7.897, 7.897 Å; angles 90.00, 90.00, 90.00 degrees
Space group Fm-3m (No. 225)
Inequivalent atoms, fractional coordinates:
1 Ca 0.250 0.250 0.250 (multiplicity 8)
2 Tl 0.000 0.000 0.000 (multiplicity 4)
3 Bi 0.000 0.000 0.500 (multiplicity 4)

VASP energy: -3.126 eV/atom
Distance to the lowest polymorph of the same formula: 36.9 meV per atom

A geometry-optimized Ca4TlBi5 structure, computed with PBE-GGA.

Cell lengths 4.113, 12.522, 12.936 Å; angles 90.00, 90.00, 90.00 degrees
Space group Immm (No. 71)
Inequivalent atoms, fractional coordinates:
1 Ca 0.000 0.000 0.234 (multiplicity 4)
2 Ca 0.000 0.305 0.500 (multiplicity 4)
3 Tl 0.000 0.000 0.500 (multiplicity 2)
4 Bi 0.000 0.000 0.000 (multiplicity 2)
5 Bi 0.000 0.314 0.176 (multiplicity 8)

VASP energy: -3.518 eV/atom

A geometry-optimized CaTlBi structure, computed with PBE-GGA.

Cell lengths 4.481, 4.481, 9.666 Å; angles 90.00, 90.00, 90.00 degrees
Space group I4mm (No. 107)
Inequivalent atoms, fractional coordinates:
1 Ca 0.000 0.000 0.000 (multiplicity 2)
2 Tl 0.000 0.000 0.678 (multiplicity 2)
3 Bi 0.000 0.000 0.348 (multiplicity 2)

VASP energy: -3.128 eV/atom
Distance to the lowest polymorph of the same formula: 119.2 meV per atom

A geometry-optimized CaTlBi3 structure, computed with PBE-GGA.

Cell lengths 5.897, 5.897, 5.897 Å; angles 90.00, 90.00, 90.00 degrees
Space group Pm-3m (No. 221)
Inequivalent atoms, fractional coordinates:
1 Ca 0.000 0.000 0.000 (multiplicity 1)
2 Tl 0.500 0.500 0.500 (multiplicity 1)
3 Bi 0.000 0.000 0.500 (multiplicity 3)

VASP energy: -2.882 eV/atom
Distance to the lowest polymorph of the same formula: 562.4 meV per atom

A geometry-optimized CaTlBi2 structure, computed with PBE-GGA.

Cell lengths 8.930, 8.930, 6.672 Å; angles 90.00, 90.00, 90.00 degrees
Space group I-42d (No. 122)
Inequivalent atoms, fractional coordinates:
1 Ca 0.000 0.000 0.000 (multiplicity 4)
2 Tl 0.000 0.000 0.500 (multiplicity 4)
3 Bi 0.240 0.250 0.625 (multiplicity 8)

VASP energy: -3.246 eV/atom
Distance to the lowest polymorph of the same formula: 191.3 meV per atom

A geometry-optimized CaTlBi3 structure, computed with PBE-GGA.

Cell lengths 5.792, 6.830, 8.550 Å; angles 90.00, 108.96, 90.00 degrees
Space group P2_1/m (No. 11)
Inequivalent atoms, fractional coordinates:
1 Ca 0.201 0.250 0.412 (multiplicity 2)
2 Tl 0.004 0.250 0.008 (multiplicity 2)
3 Bi 0.201 0.750 0.388 (multiplicity 2)
4 Bi 0.399 0.520 0.789 (multiplicity 4)

VASP energy: -3.444 eV/atom
Distance to the lowest polymorph of the same formula: 0.0 meV per atom

A geometry-optimized Ca2Tl8Bi structure, computed with PBE-GGA.

Cell lengths 14.188, 9.847, 5.720 Å; angles 90.00, 107.42, 90.00 degrees
Space group C2/m (No. 12)
Inequivalent atoms, fractional coordinates:
1 Ca 0.139 0.000 0.060 (multiplicity 4)
2 Tl 0.072 0.283 0.292 (multiplicity 8)
3 Tl 0.109 0.500 0.767 (multiplicity 4)
4 Tl 0.247 0.500 0.357 (multiplicity 4)
5 Bi 0.000 0.000 0.500 (multiplicity 2)

VASP energy: -2.498 eV/atom

A geometry-optimized Ca8TlBi5 structure, computed with PBE-GGA.

Cell lengths 9.760, 9.760, 9.671 Å; angles 90.00, 90.00, 90.00 degrees
Space group I-4 (No. 82)
Inequivalent atoms, fractional coordinates:
1 Ca 0.075 0.316 0.064 (multiplicity 8)
2 Ca 0.076 0.165 0.703 (multiplicity 8)
3 Tl 0.000 0.500 0.750 (multiplicity 2)
4 Bi 0.000 0.000 0.000 (multiplicity 2)
5 Bi 0.135 0.248 0.385 (multiplicity 8)

VASP energy: -3.456 eV/atom

no.,energy of formation from the pure elements (eV per atom)
1,-0.01
2,-0.44
3,-0.21
4,-0.09
5,0.89
6,0.50
7,-0.26
8,-0.30
9,-0.13
10,-0.71
11,-0.24
12,-0.43
13,-0.60
14,-0.22
15,-0.14
16,-0.63
17,-0.15
18,-0.56
19,-0.54
20,-0.38
21,0.32
22,-0.21
23,-0.24
24,-0.06
25,-0.76